No. 1
DFT (GGA-PBE) results for Ho2ErAu2 after structural relaxation.

## Properties
SG: No. 127
Uncorrected energy: -47.7 eV per cell

a = 3.7687 Å, b = 8.1325 Å, c = 8.1325 Å
α = 90.00°, β = 90.00°, γ = 90.00°
With the nearest neighbours (Å) after each atom.
Atoms (fractional coordinates):
1 Ho 0.5000 0.1625 0.6625  6 Au 3.00-3.07
2 Ho 0.5000 0.6625 0.8375  6 Au 3.00-3.07
3 Ho 0.5000 0.8375 0.3375  6 Au 3.00-3.07
4 Ho 0.5000 0.3375 0.1625  6 Au 3.00-3.07
5 Er 0.0000 0.0000 0.0000  4 Au 3.17
6 Er 0.0000 0.5000 0.5000  4 Au 3.17
7 Au 0.0000 0.3660 0.8660  6 Ho 3.00-3.07, 1 Au 3.08, 2 Er 3.17
8 Au 0.0000 0.8660 0.6340  6 Ho 3.00-3.07, 1 Au 3.08, 2 Er 3.17
9 Au 0.0000 0.6340 0.1340  6 Ho 3.00-3.07, 1 Au 3.08, 2 Er 3.17
10 Au 0.0000 0.1340 0.3660  6 Ho 3.00-3.07, 1 Au 3.08, 2 Er 3.17

No. 2
DFT (GGA-PBE) results for HoErIrAu after structural relaxation.

## Properties
E above lowest polymorph: 0 meV/atom
SG: No. 99

a = 3.4949 Å, b = 3.4949 Å, c = 7.0007 Å
α = 90.00°, β = 90.00°, γ = 90.00°
With the nearest neighbours (Å) after each atom.
Atoms (fractional coordinates):
1 Ho 0.5000 0.5000 0.0897  4 Ir 2.97, 4 Au 3.11, 1 Er 3.26
2 Er 0.5000 0.5000 0.6236  4 Ir 2.96, 4 Au 3.09, 1 Ho 3.26
3 Ir 0.0000 0.0000 0.8554  4 Er 2.96, 4 Ho 2.97
4 Au 0.0000 0.0000 0.3592  4 Er 3.09, 4 Ho 3.11